Record 1
## TcGeSbPd2 (PBE)

Data for a geometry-optimized TcGeSbPd2 structure.

Cell: 4.632 4.632 4.751 Å, 90.00 90.00 90.00°
Space group P4/mmm (No. 123)
Unique sites:
Tc  0.000  0.000  0.000
Ge  0.000  0.000  0.500
Sb  0.500  0.500  0.000
Pd  0.000  0.500  0.500

Computed properties:
VASP energy = -5.470 eV/atom
Uncorrected formation energy = 0.4281 eV per atom

Record 2
## Ge2SbTePd (PBE)

Data for a geometry-optimized Ge2SbTePd structure.

Cell: 5.425 5.425 4.922 Å, 90.00 90.00 90.00°
Space group P4/mmm (No. 123)
Unique sites:
Ge  0.000  0.500  0.000
Sb  0.000  0.000  0.500
Te  0.500  0.500  0.000
Pd  0.500  0.500  0.500

Computed properties:
VASP energy = -3.624 eV/atom
Uncorrected formation energy = 0.7143 eV per atom

Record 3
## GeSbTe2Pd (PBE)

Data for a geometry-optimized GeSbTe2Pd structure.

Cell: 5.392 5.392 5.055 Å, 90.00 90.00 90.00°
Space group P4/mmm (No. 123)
Unique sites:
Ge  0.000  0.000  0.000
Sb  0.500  0.500  0.000
Te  0.000  0.500  0.500
Pd  0.500  0.500  0.500

Computed properties:
VASP energy = -3.621 eV/atom
Uncorrected formation energy = 0.4217 eV per atom

Record 4
## GeSbTe2Pd (PBE)

Data for a geometry-optimized GeSbTe2Pd structure.

Cell: 5.330 5.330 5.312 Å, 90.00 90.00 90.00°
Space group P4/mmm (No. 123)
Unique sites:
Ge  0.000  0.000  0.000
Sb  0.000  0.000  0.500
Te  0.000  0.500  0.000
Pd  0.500  0.500  0.500

Computed properties:
VASP energy = -3.265 eV/atom
Uncorrected formation energy = 0.7779 eV per atom

Record 5
## VGeSb2Pd (PBE)

Data for a geometry-optimized VGeSb2Pd structure.

Cell: 5.286 5.286 4.585 Å, 90.00 90.00 90.00°
Space group P4/mmm (No. 123)
Unique sites:
V  0.000  0.000  0.000
Ge  0.500  0.500  0.000
Sb  0.000  0.500  0.500
Pd  0.500  0.500  0.500

Computed properties:
VASP energy = -4.584 eV/atom
Uncorrected formation energy = 0.8510 eV per atom

Record 6
## Y2GeSbPd6 (PBE)

Data for a geometry-optimized Y2GeSbPd6 structure.

Cell: 11.887 5.453 7.933 Å, 90.00 131.47 90.00°
Space group C2/m (No. 12)
Unique sites:
Y  0.001  0.000  0.248
Ge  0.000  0.500  0.000
Sb  0.000  0.500  0.500
Pd  0.178  0.500  0.936
Pd  0.240  0.251  0.302

Computed properties:
VASP energy = -5.975 eV/atom
Uncorrected formation energy = -0.6927 eV per atom

Record 7
## Sc2Ge2Pd (PBE)

Data for a geometry-optimized Sc2Ge2Pd structure.

Cell: 7.804 7.804 3.171 Å, 90.00 90.00 90.00°
Space group P4/mbm (No. 127)
Unique sites:
Sc  0.136  0.364  0.000
Ge  0.172  0.672  0.500
Pd  0.000  0.000  0.000

Computed properties:
VASP energy = -5.792 eV/atom
ΔH_f (0 K) = -8.63 kcal/mol of atoms

Record 8
## ScGe2Pd2 (PBE)

Data for a geometry-optimized ScGe2Pd2 structure.

Cell: 8.429 9.997 6.072 Å, 90.00 132.35 90.00°
Space group C2/c (No. 15)
Unique sites:
Sc  0.000  0.153  0.250
Ge  0.000  0.123  0.750
Ge  0.000  0.451  0.250
Pd  0.160  0.331  0.730

Computed properties:
VASP energy = -5.660 eV/atom
ΔH_f (0 K) = -10.82 kcal/mol of atoms